1.
First-principles (PBE) data for crystalline PuThSc2P4 at its relaxed geometry, as listed in the Alexandria database.

abc: 6.7501 3.9487 6.8163
angles: 90.00 109.79 90.00
Closest atoms and distances in Å follow each position.
Space group P2/m (No. 10)
Unique sites:
1 Pu 0.0000 0.0000 0.0000  6 P 2.82-2.83
2 Th 0.0000 0.5000 0.5000  6 P 2.86-2.87
3 Sc 0.5000 0.0000 0.5000  6 P 2.72-2.73
4 Sc 0.5000 0.5000 0.0000  6 P 2.69
5 P 0.2660 0.5000 0.2500  3 Sc 2.69-2.73, 2 Pu 2.82, 1 Th 2.86
6 P 0.2714 0.0000 0.7611  3 Sc 2.69-2.72, 1 Pu 2.83, 2 Th 2.87

## Properties
Crystal system ... monoclinic

2.
First-principles (PBE) data for crystalline PuTh2ScP4 at its relaxed geometry, as listed in the Alexandria database.

abc: 6.9220 4.0552 6.9788
angles: 90.00 109.80 90.00
Closest atoms and distances in Å follow each position.
Space group P2/m (No. 10)
Unique sites:
1 Pu 0.0000 0.0000 0.0000  6 P 2.81
2 Th 0.5000 0.0000 0.5000  6 P 2.88-2.89
3 Th 0.5000 0.5000 0.0000  6 P 2.93
4 Sc 0.0000 0.5000 0.5000  6 P 2.76-2.77
5 P 0.2327 0.0000 0.7388  2 Sc 2.77, 1 Pu 2.81, 3 Th 2.88-2.93
6 P 0.2348 0.5000 0.2501  1 Sc 2.76, 2 Pu 2.81, 3 Th 2.89-2.93

## Properties
Crystal system ... monoclinic

Number 1: total magnetic moment 5.174 Bohr magnetons per cell, DOS at the Fermi energy 11.75 states/eV per cell, calculated formation energy -1.4114 eV per atom. Number 2: total magnetic moment 5.468 Bohr magnetons per cell, DOS at the Fermi energy 11.16 states/eV per cell, calculated formation energy -1.4252 eV per atom.